Entry 1:
# TbDyPbC

Crystalline TbDyPbC at its relaxed geometry (PBE-GGA, OQMD).

The structure in extended XYZ format:
```
8
Lattice="-1.330 -3.369 -0.420 2.443 1.304 -2.371 12.010 -5.882 9.138" Properties=species:S:1:pos:R:3 pbc="T T T"
Pb 2.931 -3.282 1.215
Pb 10.194 -4.665 5.133
Tb 6.926 -5.239 4.255
Tb 2.179 -0.740 -0.965
C 6.004 -2.940 4.568
C 12.009 -5.881 9.137
Dy 6.197 -2.708 2.092
Dy 10.944 -7.206 7.311
```

## Properties
Space-group type: P6_3mc, No. 186

---

Entry 2:
# TbDyPbC

Crystalline TbDyPbC at its relaxed geometry (PBE-GGA, OQMD).

The structure in extended XYZ format:
```
8
Lattice="3.646 0.000 0.000 -1.823 3.157 0.000 0.000 0.000 16.199" Properties=species:S:1:pos:R:3 pbc="T T T"
Pb 1.823 1.052 0.000
Pb 0.000 2.105 8.099
Dy 1.823 1.052 10.809
Dy 1.823 1.052 5.390
C 0.000 0.000 12.147
C 0.000 0.000 4.052
Tb 0.000 2.105 2.709
Tb 0.000 2.105 13.490
```

## Properties
Space-group type: P-6m2, No. 187

---

Entry 3:
# TbDyPbC

Crystalline TbDyPbC at its relaxed geometry (PBE-GGA, OQMD).

The structure in extended XYZ format:
```
8
Lattice="3.646 0.000 0.000 -1.823 3.157 0.000 0.000 0.000 16.195" Properties=species:S:1:pos:R:3 pbc="T T T"
Tb 1.823 1.052 14.853
Tb 0.000 2.105 1.342
C 0.000 0.000 0.000
C 0.000 0.000 8.098
Dy 0.000 2.105 6.760
Dy 1.823 1.052 9.436
Pb 0.000 2.105 12.145
Pb 1.823 1.052 4.050
```

## Properties
Space-group type: P-3m1, No. 164

---

Entry 4:
# DyY3Pb2C2

Crystalline DyY3Pb2C2 at its relaxed geometry (PBE-GGA, OQMD).

The structure in extended XYZ format:
```
8
Lattice="-3.599 -0.250 0.506 1.663 -2.209 -2.372 2.402 -10.807 11.747" Properties=species:S:1:pos:R:3 pbc="T T T"
Y 0.358 -10.816 10.322
Y -0.445 -7.199 6.391
Y 0.911 -6.066 3.490
Pb -1.244 -3.604 2.484
Pb 1.710 -9.661 7.398
Dy 0.107 -2.447 -0.443
C 0.000 -0.002 0.002
C 1.201 -5.404 5.874
```

## Properties
Space-group type: P3m1, No. 156

---

Entry 5:
# Dy3YPb2C2

Crystalline Dy3YPb2C2 at its relaxed geometry (PBE-GGA, OQMD).

The structure in extended XYZ format:
```
8
Lattice="3.639 0.000 0.000 -1.820 3.151 0.000 0.000 0.000 16.142" Properties=species:S:1:pos:R:3 pbc="T T T"
Y 0.000 0.000 14.807
C 0.000 2.101 0.003
C 0.000 2.101 8.071
Pb 0.000 0.000 4.036
Pb 1.820 1.050 12.107
Dy 0.000 0.000 9.404
Dy 1.820 1.050 6.738
Dy 1.820 1.050 1.332
```

## Properties
Space-group type: P3m1, No. 156

---

Entry 6:
# Dy2ReC2

Crystalline Dy2ReC2 at its relaxed geometry (PBE-GGA, OQMD).

The structure in extended XYZ format:
```
20
Lattice="6.567 0.000 0.000 0.000 5.114 0.000 0.000 0.000 9.855" Properties=species:S:1:pos:R:3 pbc="T T T"
C 2.126 3.835 4.434
C 3.582 1.278 2.376
C 2.985 3.835 7.479
C 1.157 1.278 9.361
C 4.440 1.278 5.421
C 0.298 1.278 2.551
C 6.268 3.835 7.304
C 5.409 3.835 0.494
Dy 3.492 3.835 2.129
Dy 6.358 1.278 7.056
Dy 4.470 3.835 5.475
Dy 5.380 1.278 0.548
Dy 1.187 3.835 9.307
Dy 3.075 1.278 7.726
Dy 0.209 3.835 2.799
Dy 2.097 1.278 4.380
Re 1.452 3.835 6.247
Re 4.735 3.835 8.535
Re 5.115 1.278 3.608
Re 1.831 1.278 1.320
```

## Properties
Space-group type: Pnma, No. 62

---

Entry 7:
# Dy12Re5C15

Crystalline Dy12Re5C15 at its relaxed geometry (PBE-GGA, OQMD).

The structure in extended XYZ format:
```
32
Lattice="10.725 0.000 0.000 -5.362 9.288 0.000 0.000 0.000 5.088" Properties=species:S:1:pos:R:3 pbc="T T T"
Re 5.362 3.096 2.544
Re 1.628 0.000 0.000
Re 4.548 7.878 0.000
Re 0.000 6.192 2.544
Re -0.814 1.410 0.000
C -2.465 4.269 0.000
C 4.930 0.000 0.000
C 1.366 7.531 2.544
C 8.413 0.000 0.000
C 3.573 0.000 0.000
C 1.156 2.002 0.000
C 3.576 6.194 0.000
C 5.839 4.949 2.544
C -1.786 3.094 0.000
C 6.728 1.757 2.544
C -1.843 6.705 2.544
C 3.520 2.583 2.544
C -4.207 7.286 0.000
C 2.898 5.019 0.000
C 0.477 4.339 2.544
Dy -4.264 7.385 2.544
Dy 3.443 2.508 0.000
Dy 0.450 4.236 0.000
Dy -1.919 6.780 0.000
Dy 4.570 0.000 2.544
Dy 6.831 1.728 0.000
Dy 1.469 7.560 0.000
Dy 1.099 1.903 2.544
Dy 3.077 5.330 2.544
Dy -2.285 3.958 2.544
Dy 8.527 0.000 2.544
Dy 5.813 5.052 0.000
```

## Properties
Space-group type: P-62m, No. 189

---

Entry 8:
# Dy3C2S

Crystalline Dy3C2S at its relaxed geometry (PBE-GGA, OQMD).

The structure in extended XYZ format:
```
6
Lattice="-1.738 -2.682 -1.763 3.497 0.717 -0.760 2.691 -6.102 6.630" Properties=species:S:1:pos:R:3 pbc="T T T"
C 2.188 -1.404 -0.021
C 2.262 -6.664 4.129
Dy 0.823 -3.400 0.583
Dy 3.627 -4.667 3.525
Dy 0.000 0.000 0.000
S 1.345 -3.051 3.315
```

## Properties
Space-group type: P-3m1, No. 164

---

Entry 9:
# Dy3ScC2S2

Crystalline Dy3ScC2S2 at its relaxed geometry (PBE-GGA, OQMD).

The structure in extended XYZ format:
```
8
Lattice="-2.287 2.779 -0.578 -1.186 -3.433 -0.316 -3.154 -0.041 12.276" Properties=species:S:1:pos:R:3 pbc="T T T"
C -3.120 -1.382 5.697
C -1.579 -1.362 -0.300
S -2.674 0.699 2.442
S -2.376 -0.031 9.248
Sc -0.329 -0.004 1.282
Dy -3.826 0.684 6.929
Dy -4.769 0.672 10.598
Dy -1.231 -0.016 4.791
```

## Properties
Space-group type: P3m1, No. 156

---

Entry 10:
# DyScCS

Crystalline DyScCS at its relaxed geometry (PBE-GGA, OQMD).

The structure in extended XYZ format:
```
8
Lattice="3.581 0.000 0.000 -1.791 3.101 0.000 0.000 0.000 12.443" Properties=species:S:1:pos:R:3 pbc="T T T"
Sc 1.791 1.034 1.300
Sc 0.000 2.068 7.522
Dy 1.791 1.034 4.948
Dy 0.000 2.068 11.170
S 1.791 1.034 9.232
S 0.000 2.068 3.011
C 0.000 0.000 6.295
C 0.000 0.000 0.073
```

## Properties
Space-group type: P6_3mc, No. 186
Relative energy among the computed polymorphs, meV/atom: 0

---

Entry 11:
# DyScCS

Crystalline DyScCS at its relaxed geometry (PBE-GGA, OQMD).

The structure in extended XYZ format:
```
8
Lattice="3.582 0.000 0.000 -1.791 3.102 0.000 0.000 0.000 12.438" Properties=species:S:1:pos:R:3 pbc="T T T"
Dy 0.000 2.068 8.133
Dy 0.000 2.068 4.305
C 0.000 0.000 2.948
C 0.000 0.000 9.491
S 1.791 1.034 6.219
S 0.000 2.068 0.000
Sc 1.791 1.034 1.732
Sc 1.791 1.034 10.706
```

## Properties
Space-group type: P-6m2, No. 187
Relative energy among the computed polymorphs, meV/atom: 1

---

Entry 12:
# DyScCS

Crystalline DyScCS at its relaxed geometry (PBE-GGA, OQMD).

The structure in extended XYZ format:
```
8
Lattice="-2.762 -0.471 -2.231 3.335 0.184 -1.293 1.140 -12.328 1.191" Properties=species:S:1:pos:R:3 pbc="T T T"
Sc -0.270 -5.222 -1.438
Sc 1.983 -7.393 -0.895
C 0.000 0.000 0.000
C 0.570 -6.164 0.595
S 0.109 -9.320 -1.043
S 1.604 -3.294 -1.291
Dy 2.318 -11.006 -0.546
Dy -0.604 -1.609 -1.787
```

## Properties
Space-group type: P-3m1, No. 164
Relative energy among the computed polymorphs, meV/atom: 6

---

Entry 13:
# TbDyCS

Crystalline TbDyCS at its relaxed geometry (PBE-GGA, OQMD).

The structure in extended XYZ format:
```
8
Lattice="3.717 0.000 0.000 -1.858 3.219 0.000 0.000 0.000 12.951" Properties=species:S:1:pos:R:3 pbc="T T T"
C 0.000 0.000 12.945
C 0.000 0.000 6.469
Dy 0.000 2.146 11.597
Dy 1.858 1.073 5.121
Tb 0.000 2.146 7.826
Tb 1.858 1.073 1.351
S 0.000 2.146 3.248
S 1.858 1.073 9.723
```

## Properties
Space-group type: P6_3mc, No. 186

---

Entry 14:
# TbDyCS

Crystalline TbDyCS at its relaxed geometry (PBE-GGA, OQMD).

The structure in extended XYZ format:
```
8
Lattice="-1.848 1.132 -3.020 0.933 -3.578 0.375 -11.238 -2.300 6.013" Properties=species:S:1:pos:R:3 pbc="T T T"
C 0.000 0.000 0.000
C -5.619 -1.150 3.007
S -2.794 -2.581 0.742
S -9.359 -2.165 2.627
Dy -10.064 -4.069 4.632
Dy -2.089 -0.677 -1.263
Tb -5.361 -1.347 0.488
Tb -6.792 -3.399 2.881
```

## Properties
Space-group type: P-3m1, No. 164

---

Entry 15:
# Tb3DyC2S2

Crystalline Tb3DyC2S2 at its relaxed geometry (PBE-GGA, OQMD).

The structure in extended XYZ format:
```
8
Lattice="3.722 0.000 0.000 -1.861 3.224 0.000 0.000 0.000 12.972" Properties=species:S:1:pos:R:3 pbc="T T T"
C 1.861 1.075 6.487
C 1.861 1.075 12.964
S 0.000 2.149 9.739
S 0.000 0.000 3.242
Tb 0.000 2.149 5.128
Tb 0.000 2.149 1.350
Tb 0.000 0.000 7.845
Dy 0.000 0.000 11.617
```

## Properties
Space-group type: P3m1, No. 156

---

Entry 16:
# TbDyCS

Crystalline TbDyCS at its relaxed geometry (PBE-GGA, OQMD).

The structure in extended XYZ format:
```
8
Lattice="3.717 0.000 0.000 -1.858 3.219 0.000 0.000 0.000 12.951" Properties=species:S:1:pos:R:3 pbc="T T T"
C 0.000 0.000 3.229
C 0.000 0.000 9.723
Dy 0.000 2.146 11.069
Dy 0.000 2.146 1.882
S 0.000 2.146 6.476
S 1.858 1.073 0.000
Tb 1.858 1.073 8.364
Tb 1.858 1.073 4.587
```

## Properties
Space-group type: P-6m2, No. 187

---

Entry 17:
# TbDy3C2S2

Crystalline TbDy3C2S2 at its relaxed geometry (PBE-GGA, OQMD).

The structure in extended XYZ format:
```
8
Lattice="-1.405 2.213 2.627 -0.251 -3.686 0.350 11.336 -0.183 6.219" Properties=species:S:1:pos:R:3 pbc="T T T"
S 1.822 0.201 3.427
S 8.501 -0.137 4.664
Dy 9.127 0.083 7.435
Dy 5.828 0.136 5.625
Dy 4.488 -0.073 2.462
C 5.033 -1.811 4.219
C 10.693 -1.903 7.323
Tb 1.184 -0.019 0.649
```

## Properties
Space-group type: P3m1, No. 156

---

Entry 18:
# Dy4TeC2S

Crystalline Dy4TeC2S at its relaxed geometry (PBE-GGA, OQMD).

The structure in extended XYZ format:
```
8
Lattice="3.755 0.000 0.000 -1.877 3.252 0.000 0.000 0.000 13.546" Properties=species:S:1:pos:R:3 pbc="T T T"
Dy 0.000 0.000 9.034
Dy 0.000 0.000 4.512
Dy 0.000 2.168 11.686
Dy 0.000 2.168 1.860
C 1.877 1.084 3.215
C 1.877 1.084 10.331
Te 0.000 2.168 6.773
S 0.000 0.000 0.000
```

## Properties
Space-group type: P-6m2, No. 187

---

Entry 19:
# Dy4TlC2S

Crystalline Dy4TlC2S at its relaxed geometry (PBE-GGA, OQMD).

The structure in extended XYZ format:
```
8
Lattice="3.665 0.000 0.000 -1.832 3.174 0.000 0.000 0.000 14.570" Properties=species:S:1:pos:R:3 pbc="T T T"
Dy 0.000 0.000 1.877
Dy 0.000 2.116 4.562
Dy 0.000 0.000 12.692
Dy 0.000 2.116 10.008
C 1.832 1.058 3.252
C 1.832 1.058 11.318
Tl 0.000 0.000 7.285
S 0.000 2.116 0.000
```

## Properties
Space-group type: P-6m2, No. 187

---

Entry 20:
# Dy3TmC2S2

Crystalline Dy3TmC2S2 at its relaxed geometry (PBE-GGA, OQMD).

The structure in extended XYZ format:
```
8
Lattice="3.690 0.000 0.000 -1.845 3.195 0.000 0.000 0.000 12.853" Properties=species:S:1:pos:R:3 pbc="T T T"
S 0.000 0.000 3.206
S 0.000 2.130 9.682
C 1.845 1.065 12.823
C 1.845 1.065 6.437
Dy 0.000 2.130 1.312
Dy 0.000 0.000 7.781
Dy 0.000 2.130 5.082
Tm 0.000 0.000 11.515
```

## Properties
Space-group type: P3m1, No. 156

---

Entry 21:
# DyYCS

Crystalline DyYCS at its relaxed geometry (PBE-GGA, OQMD).

The structure in extended XYZ format:
```
8
Lattice="3.709 0.000 0.000 -1.854 3.212 0.000 0.000 0.000 12.916" Properties=species:S:1:pos:R:3 pbc="T T T"
S 1.854 1.071 0.000
S 0.000 2.141 6.458
C 0.000 0.000 3.224
C 0.000 0.000 9.692
Dy 0.000 2.141 11.033
Dy 0.000 2.141 1.883
Y 1.854 1.071 8.340
Y 1.854 1.071 4.576
```

## Properties
Space-group type: P-6m2, No. 187

---

Entry 22:
# DyYCS

Crystalline DyYCS at its relaxed geometry (PBE-GGA, OQMD).

The structure in extended XYZ format:
```
8
Lattice="3.709 0.000 0.000 -1.854 3.212 0.000 0.000 0.000 12.917" Properties=species:S:1:pos:R:3 pbc="T T T"
Dy 1.854 1.071 1.346
Dy 0.000 2.141 11.570
S 0.000 2.141 3.227
S 1.854 1.071 9.689
C 0.000 0.000 0.000
C 0.000 0.000 6.458
Y 0.000 2.141 7.805
Y 1.854 1.071 5.111
```

## Properties
Space-group type: P-3m1, No. 164

---

Entry 23:
# DyYCS

Crystalline DyYCS at its relaxed geometry (PBE-GGA, OQMD).

The structure in extended XYZ format:
```
8
Lattice="-2.884 -1.768 -1.522 3.241 0.150 -1.796 3.690 -10.964 5.744" Properties=species:S:1:pos:R:3 pbc="T T T"
Dy 0.619 -5.471 0.662
Dy 4.506 -10.314 3.442
Y -0.456 -2.275 -1.013
Y 3.430 -7.118 1.768
C 3.688 -10.958 5.741
C 1.843 -5.476 2.869
S 2.122 -3.230 -0.269
S 1.926 -9.352 2.695
```

## Properties
Space-group type: P6_3mc, No. 186

---

Table of size of the total moment (μB/atom), in record order: 0.00; 0.00; 0.00; 0.00; 0.00; 0.00; 0.00; 0.00; 0.00; 0.00; 0.00; 0.00; 0.00; 0.00; 0.00; 0.00; 0.00; 0.00; 0.04; 0.00; 0.00; 0.00; 0.00
Table of raw total energy (eV/cell), in record order: -48.2; -48.2; -48.2; -53.9; -50.1; -168.5; -267.1; -41.3; -56.8; -58.6; -58.6; -58.6; -55.1; -55.1; -55.1; -55.1; -55.1; -52.6; -49.8; -55.1; -58.9; -58.9; -58.9
Table of V (Å³/cell), in record order: 186.46; 186.44; 186.41; 185.49; 185.12; 330.93; 506.86; 108.50; 145.87; 138.20; 138.21; 138.18; 154.94; 154.95; 155.67; 154.95; 154.24; 165.41; 169.47; 151.54; 153.87; 153.86; 153.86